(1)
# PrCo5, relaxed, DFT PBE
data_PrCo5
_symmetry_space_group_name_H-M 'P 6/m m m'
_symmetry_Int_Tables_number 191
_symmetry_space_group_name_Hall '-P 6 2'
_cell_length_a 5.0360
_cell_length_b 5.0360
_cell_length_c 3.9389
_cell_angle_alpha 90.00
_cell_angle_beta 90.00
_cell_angle_gamma 120.00
loop_
_atom_site_label
_atom_site_fract_x
_atom_site_fract_y
_atom_site_fract_z
Pr1 0.0000 0.0000 0.0000
Co1 0.0000 0.5000 0.5000
Co2 0.3333 0.6667 0.0000
# Formation energy, meV per atom: -14
# Volume, Å³ per atom: 14.42


(2)
# Pr4Co, relaxed, DFT PBE
data_Pr4Co
_symmetry_space_group_name_H-M 'P m -3 m'
_symmetry_Int_Tables_number 221
_symmetry_space_group_name_Hall '-P 4 2 3'
_cell_length_a 5.513
_cell_length_b 5.513
_cell_length_c 5.513
_cell_angle_alpha 90.00
_cell_angle_beta 90.00
_cell_angle_gamma 90.00
loop_
_atom_site_label
_atom_site_fract_x
_atom_site_fract_y
_atom_site_fract_z
Pr1 0.000 0.000 0.000
Pr2 0.000 0.500 0.500
Co1 0.500 0.500 0.500
# Formation energy, meV per atom: 96
# Volume, Å³ per atom: 33.51


- What is the formula in the first record?
  PrCo5


- Which of these has the lowest formation energy?
  PrCo5


- Look up the formation energy of the second one.
  96 meV per atom